Below is MgInW2 after structural relaxation, with properties calculated at the PBEsol level.

Unit cell a=3.3732 b=4.3524 c=5.3938 alpha=113.79 beta=108.22 gamma=90.00
Sites, in units of the cell vectors:
W: 0.7496 0.7496 0.4992
W: 0.2504 0.2504 0.5008
Mg: 0.0000 0.5000 0.0000
In: 0.5000 0.0000 0.0000

Results
The calculation puts the formation energy at 1.89 eV per formula unit. The calculation puts the density of states at the Fermi level at 2.83 states/eV per cell. As for the total magnetization: 0.0 μB per formula unit. The calculation puts the total DFT energy (no corrections) at -30.4 eV per cell. Its energy above the lowest structure with this stoichiometry is 0.135 eV/atom. The space-group type is Immm, No. 71.


Below is ScCu2Ir after structural relaxation, with properties calculated at the PBEsol level.

Unit cell a=2.7221 b=2.7221 c=8.9501 alpha=81.25 beta=81.25 gamma=60.00
Sites, in units of the cell vectors:
Cu: 0.7536 0.7536 0.7393
Cu: 0.2464 0.2464 0.2607
Sc: 0.0000 0.0000 0.0000
Ir: 0.5000 0.5000 0.5000

Results
The calculation puts the formation energy at 0.81 eV per formula unit. The calculation puts the density of states at the Fermi level at 5.00 states/eV per cell. As for the total magnetization: 0.0 μB per formula unit. The calculation puts the total DFT energy (no corrections) at -24.3 eV per cell. Its energy above the lowest structure with this stoichiometry is 0.610 eV/atom. The space-group type is R-3m, No. 166.


Below is Li2CuSiO4 after structural relaxation, with properties calculated at the PBEsol level.

Unit cell a=4.8564 b=5.2636 c=6.2313 alpha=90.00 beta=90.00 gamma=90.00
Site moments in Bohr magnetons follow the coordinates.
Sites, in units of the cell vectors:
Li: 0.5067 0.8312 0.2509  0.00
O: 0.1590 0.3347 0.0000  0.09
O: 0.6590 0.6653 0.5000  0.09
Li: 0.0067 0.1688 0.2491  0.00
O: 0.6049 0.1895 0.2155  0.08
O: 0.6034 0.6383 0.0000  0.08
O: 0.1049 0.8105 0.2845  0.08
Li: 0.5067 0.8312 0.7491  0.00
O: 0.6049 0.1895 0.7845  0.08
O: 0.1034 0.3617 0.5000  0.08
O: 0.1049 0.8105 0.7155  0.08
Cu: 0.0174 0.6883 0.0000  0.61
Si: 0.9971 0.6588 0.5000  0.00
Si: 0.4971 0.3412 0.0000  0.00
Li: 0.0067 0.1688 0.7509  0.00
Cu: 0.5174 0.3117 0.5000  0.61

Results
The calculation puts the density of states at the Fermi level at 5.41 states/eV per cell. As for the total magnetization: 1.0 μB per formula unit. The calculation puts the total DFT energy (no corrections) at -101.9 eV per cell. Its energy above the lowest structure with this stoichiometry is 0.006 eV/atom. The space-group type is Pmn2_1, No. 31.


Below is BeTcOs2Au after structural relaxation, with properties calculated at the PBEsol level.

Unit cell a=4.1154 b=4.1260 c=4.1260 alpha=90.00 beta=90.00 gamma=90.00
Site moments in Bohr magnetons follow the coordinates.
Sites, in units of the cell vectors:
Os: 0.0000 0.0000 0.5000  0.35
Au: 0.5000 0.0000 0.0000  0.10
Be: 0.0000 0.0000 0.0000  -0.01
Tc: 0.5000 0.5000 0.5000  1.29
Os: 0.0000 0.5000 0.0000  0.35

Results
The calculation puts the formation energy at 5.03 eV per formula unit. The calculation puts the density of states at the Fermi level at 6.87 states/eV per cell. As for the total magnetization: 2.2 μB per formula unit. The calculation puts the total DFT energy (no corrections) at -38.6 eV per cell. The space-group type is P4/mmm, No. 123.


Below is CoHgPt2 after structural relaxation, with properties calculated at the PBEsol level.

Unit cell a=2.7947 b=2.7947 c=7.6792 alpha=90.00 beta=90.00 gamma=90.00
Site moments in Bohr magnetons follow the coordinates.
Sites, in units of the cell vectors:
Pt: 0.0000 0.0000 0.0132  0.08
Hg: 0.5000 0.5000 0.7343  -0.03
Pt: 0.5000 0.5000 0.2716  0.33
Co: 0.0000 0.0000 0.4810  1.67

Results
The calculation puts the formation energy at 0.38 eV per formula unit. The calculation puts the density of states at the Fermi level at 3.29 states/eV per cell. As for the total magnetization: 2.0 μB per formula unit. The calculation puts the total DFT energy (no corrections) at -21.8 eV per cell. The space-group type is P4mm, No. 99.


Below is ZrSnTeI2 after structural relaxation, with properties calculated at the PBEsol level.

Unit cell a=5.7565 b=5.6867 c=5.6867 alpha=90.00 beta=90.00 gamma=90.00
Site moments in Bohr magnetons follow the coordinates.
Sites, in units of the cell vectors:
Sn: 0.0000 0.0000 0.0000  -0.01
Te: 0.5000 0.0000 0.0000  -0.10
I: 0.0000 0.5000 0.0000  -0.03
Zr: 0.5000 0.5000 0.5000  1.54
I: 0.0000 0.0000 0.5000  -0.03

Results
The calculation puts the density of states at the Fermi level at 7.00 states/eV per cell. As for the total magnetization: 2.3 μB per formula unit. The calculation puts the total DFT energy (no corrections) at -17.4 eV per cell. The space-group type is P4/mmm, No. 123.


Below is MnRuN2 after structural relaxation, with properties calculated at the PBEsol level.

Unit cell a=4.3925 b=4.3925 c=5.2775 alpha=114.59 beta=114.59 gamma=90.00
Site moments in Bohr magnetons follow the coordinates.
Sites, in units of the cell vectors:
N: 0.1250 0.1582 0.7500  0.00
N: 0.4082 0.8750 0.2500  0.00
Ru: 0.2500 0.7500 0.5000  0.00
Mn: 0.7500 0.2500 0.5000  0.05
N: 0.8418 0.3750 0.2500  0.00
N: 0.6250 0.5918 0.7500  0.00
Ru: 0.0000 0.0000 0.0000  0.00
Mn: 0.5000 0.5000 0.0000  0.05

Results
The calculation puts the density of states at the Fermi level at 6.38 states/eV per cell. As for the total magnetization: 0.1 μB per formula unit. The calculation puts the total DFT energy (no corrections) at -75.3 eV per cell. The space-group type is I-42d, No. 122.


Below is BAs after structural relaxation, with properties calculated at the PBEsol level.

Unit cell a=3.3618 b=3.3618 c=5.5643 alpha=90.00 beta=90.00 gamma=120.00
Sites, in units of the cell vectors:
B: 0.6667 0.3333 0.6254
As: 0.3333 0.6667 0.4996
B: 0.3333 0.6667 0.1254
As: 0.6667 0.3333 0.9996

Results
The calculation puts the formation energy at -0.06 eV per formula unit. As for the total magnetization: 0.0 μB per formula unit. The calculation puts the total DFT energy (no corrections) at -24.4 eV per cell. The space-group type is P6_3mc, No. 186.


Below is TiW after structural relaxation, with properties calculated at the PBEsol level.

Unit cell a=2.7434 b=2.7434 c=4.4236 alpha=90.00 beta=90.00 gamma=110.29
Sites, in units of the cell vectors:
Ti: 0.0000 0.0000 0.0000
W: 0.5000 0.5000 0.5000

Results
The calculation puts the formation energy at -0.03 eV per formula unit. The calculation puts the density of states at the Fermi level at 2.66 states/eV per cell. As for the total magnetization: 0.0 μB per formula unit. The calculation puts the total DFT energy (no corrections) at -22.2 eV per cell. The space-group type is Cmmm, No. 65.


Below is Ta2CuTe after structural relaxation, with properties calculated at the PBEsol level.

Unit cell a=3.0183 b=3.0183 c=8.4204 alpha=90.00 beta=90.00 gamma=107.32
Sites, in units of the cell vectors:
Ta: 0.0000 0.0000 0.0088
Ta: 0.5000 0.5000 0.7621
Te: 0.0000 0.0000 0.4979
Cu: 0.5000 0.5000 0.2312

Results
The calculation puts the density of states at the Fermi level at 2.57 states/eV per cell. As for the total magnetization: 0.0 μB per formula unit. The calculation puts the total DFT energy (no corrections) at -31.8 eV per cell. The space-group type is Cmm2, No. 35.